Record 1
# TlVBr2 | Alexandria | PBE | relaxed
data_TlVBr2
_symmetry_space_group_name_H-M 'P 1'
_symmetry_Int_Tables_number 1
_cell_length_a 3.767
_cell_length_b 3.767
_cell_length_c 30.315
_cell_angle_alpha 90.00
_cell_angle_beta 90.00
_cell_angle_gamma 120.00
loop_
_symmetry_equiv_pos_as_xyz
'x,y,z'
loop_
_atom_site_label
_atom_site_fract_x
_atom_site_fract_y
_atom_site_fract_z
Tl1 0.000 0.000 0.000
Tl2 0.333 0.667 0.667
Tl3 0.667 0.333 0.333
V1 0.000 0.000 0.500
V2 0.333 0.667 0.167
V3 0.667 0.333 0.833
Br1 0.000 0.000 0.117
Br2 0.000 0.000 0.883
Br3 0.333 0.667 0.549
Br4 0.333 0.667 0.784
Br5 0.667 0.333 0.216
Br6 0.667 0.333 0.451
# E_form (uncorrected) (eV/atom): -0.48
# DFT total energy (eV per atom): -4.1833
# Symmetry: R-3m
# Total magnetic moment (μB per formula unit): 3.2

=====

Record 2
# TlVBr3 | Alexandria | PBE | relaxed
data_TlVBr3
_symmetry_space_group_name_H-M 'P 1'
_symmetry_Int_Tables_number 1
_cell_length_a 8.900
_cell_length_b 3.805
_cell_length_c 16.144
_cell_angle_alpha 90.00
_cell_angle_beta 90.00
_cell_angle_gamma 90.00
loop_
_symmetry_equiv_pos_as_xyz
'x,y,z'
loop_
_atom_site_label
_atom_site_fract_x
_atom_site_fract_y
_atom_site_fract_z
Tl1 0.045 0.250 0.168
Tl2 0.455 0.750 0.668
Tl3 0.545 0.250 0.332
Tl4 0.955 0.750 0.832
V1 0.109 0.750 0.458
V2 0.391 0.250 0.958
V3 0.609 0.750 0.042
V4 0.891 0.250 0.542
Br1 0.044 0.750 0.607
Br2 0.194 0.750 0.995
Br3 0.250 0.250 0.808
Br4 0.250 0.750 0.308
Br5 0.306 0.250 0.495
Br6 0.456 0.250 0.107
Br7 0.544 0.750 0.893
Br8 0.694 0.750 0.505
Br9 0.750 0.250 0.692
Br10 0.750 0.750 0.192
Br11 0.806 0.250 0.005
Br12 0.956 0.250 0.393
# E_form (uncorrected) (eV/atom): -0.68
# DFT total energy (eV per atom): -3.9834
# Symmetry: Pnma
# Total magnetic moment (μB per formula unit): 1.0

=====

Record 3
# TlV3Br12 | Alexandria | PBE | relaxed
data_TlV3Br12
_symmetry_space_group_name_H-M 'P 1'
_symmetry_Int_Tables_number 1
_cell_length_a 13.235
_cell_length_b 13.235
_cell_length_c 8.897
_cell_angle_alpha 90.00
_cell_angle_beta 90.00
_cell_angle_gamma 120.00
loop_
_symmetry_equiv_pos_as_xyz
'x,y,z'
loop_
_atom_site_label
_atom_site_fract_x
_atom_site_fract_y
_atom_site_fract_z
Tl1 0.333 0.667 0.250
Tl2 0.667 0.333 0.750
V1 0.099 0.386 0.750
V2 0.287 0.901 0.750
V3 0.386 0.287 0.250
V4 0.614 0.713 0.750
V5 0.713 0.099 0.250
V6 0.901 0.614 0.250
Br1 0.010 0.815 0.250
Br2 0.022 0.532 0.250
Br3 0.185 0.195 0.250
Br4 0.195 0.010 0.750
Br5 0.217 0.447 0.537
Br6 0.217 0.447 0.963
Br7 0.231 0.783 0.537
Br8 0.231 0.783 0.963
Br9 0.447 0.231 0.037
Br10 0.447 0.231 0.463
Br11 0.468 0.490 0.250
Br12 0.490 0.022 0.750
Br13 0.510 0.978 0.250
Br14 0.532 0.510 0.750
Br15 0.553 0.769 0.537
Br16 0.553 0.769 0.963
Br17 0.769 0.217 0.037
Br18 0.769 0.217 0.463
Br19 0.783 0.553 0.037
Br20 0.783 0.553 0.463
Br21 0.805 0.990 0.250
Br22 0.815 0.805 0.750
Br23 0.978 0.468 0.750
Br24 0.990 0.185 0.750
# E_form (uncorrected) (eV/atom): -0.79
# DFT total energy (eV per atom): -3.8975
# Symmetry: P6_3/m
# Total magnetic moment (μB per formula unit): 4.0

=====

Record 4
# TlVBr4 | Alexandria | PBE | relaxed
data_TlVBr4
_symmetry_space_group_name_H-M 'P 1'
_symmetry_Int_Tables_number 1
_cell_length_a 8.944
_cell_length_b 8.944
_cell_length_c 13.177
_cell_angle_alpha 116.96
_cell_angle_beta 116.96
_cell_angle_gamma 25.15
loop_
_symmetry_equiv_pos_as_xyz
'x,y,z'
loop_
_atom_site_label
_atom_site_fract_x
_atom_site_fract_y
_atom_site_fract_z
Tl1 0.249 0.751 0.750
Tl2 0.751 0.249 0.250
V1 0.000 0.500 0.000
V2 0.500 0.000 0.500
Br1 0.037 0.537 0.647
Br2 0.152 0.652 0.027
Br3 0.348 0.848 0.473
Br4 0.463 0.963 0.853
Br5 0.537 0.037 0.147
Br6 0.652 0.152 0.527
Br7 0.848 0.348 0.973
Br8 0.963 0.463 0.353
# E_form (uncorrected) (eV/atom): -0.83
# DFT total energy (eV per atom): -3.8557
# Symmetry: C2/c
# Total magnetic moment (μB per formula unit): 2.0

=====

Record 5
# TlV2Br | Alexandria | PBE | relaxed
data_TlV2Br
_symmetry_space_group_name_H-M 'P 1'
_symmetry_Int_Tables_number 1
_cell_length_a 6.568
_cell_length_b 6.568
_cell_length_c 6.568
_cell_angle_alpha 90.00
_cell_angle_beta 90.00
_cell_angle_gamma 90.00
loop_
_symmetry_equiv_pos_as_xyz
'x,y,z'
loop_
_atom_site_label
_atom_site_fract_x
_atom_site_fract_y
_atom_site_fract_z
Tl1 0.000 0.000 0.000
Tl2 0.000 0.500 0.500
Tl3 0.500 0.000 0.500
Tl4 0.500 0.500 0.000
V1 0.250 0.250 0.250
V2 0.250 0.250 0.750
V3 0.250 0.750 0.250
V4 0.250 0.750 0.750
V5 0.750 0.250 0.250
V6 0.750 0.250 0.750
V7 0.750 0.750 0.250
V8 0.750 0.750 0.750
Br1 0.000 0.000 0.500
Br2 0.000 0.500 0.000
Br3 0.500 0.000 0.000
Br4 0.500 0.500 0.500
# E_form (uncorrected) (eV/atom): 0.81
# DFT total energy (eV per atom): -4.7626
# Symmetry: Fm-3m
# Total magnetic moment (μB per formula unit): 0.0

=====

Record 6
# Tl3VBr8 | Alexandria | PBE | relaxed
data_Tl3VBr8
_symmetry_space_group_name_H-M 'P 1'
_symmetry_Int_Tables_number 1
_cell_length_a 9.419
_cell_length_b 9.419
_cell_length_c 11.882
_cell_angle_alpha 90.00
_cell_angle_beta 90.00
_cell_angle_gamma 120.00
loop_
_symmetry_equiv_pos_as_xyz
'x,y,z'
loop_
_atom_site_label
_atom_site_fract_x
_atom_site_fract_y
_atom_site_fract_z
Tl1 0.173 0.347 0.000
Tl2 0.173 0.827 0.000
Tl3 0.347 0.173 0.500
Tl4 0.653 0.827 0.000
Tl5 0.827 0.173 0.500
Tl6 0.827 0.653 0.500
V1 0.333 0.667 0.298
V2 0.667 0.333 0.798
Br1 0.000 0.000 0.114
Br2 0.000 0.000 0.614
Br3 0.083 0.542 0.186
Br4 0.210 0.420 0.427
Br5 0.210 0.790 0.427
Br6 0.333 0.667 0.853
Br7 0.420 0.210 0.927
Br8 0.458 0.542 0.186
Br9 0.458 0.917 0.186
Br10 0.542 0.083 0.686
Br11 0.542 0.458 0.686
Br12 0.580 0.790 0.427
Br13 0.667 0.333 0.353
Br14 0.790 0.210 0.927
Br15 0.790 0.580 0.927
Br16 0.917 0.458 0.686
# E_form (uncorrected) (eV/atom): -0.71
# DFT total energy (eV per atom): -3.1736
# Symmetry: P6_3mc
# Total magnetic moment (μB per formula unit): 0.1

=====

no.,ρ (kg/m³)
1,5551
2,6014
3,3238
4,4812
5,9054
6,4742